Here is Li4MoO5 after structural relaxation from the Alexandria database. Energies are from PBE+U.

Lattice parameters (Å, degrees): 5.1321 5.1321 5.1321 100.03 100.03 130.67
Sites, in units of the cell vectors:
Li (0.0991, 0.3120, 0.4111)
Li (0.3120, 0.9009, 0.2130)
Li (0.6879, 0.0991, 0.7870)
Li (0.9009, 0.6879, 0.5889)
Mo (0.4554, 0.4554, 0.0000)
O (0.0235, 0.0235, 0.0000)
O (0.2441, 0.6056, 0.8139)
O (0.4301, 0.2441, 0.6385)
O (0.6056, 0.7917, 0.3615)
O (0.7917, 0.4301, 0.1861)

* ΔE to the lowest computed polymorph: 26 meV per atom
* symmetry: I4, No. 79